Compound: Os2RuRh
Source: Alexandria via LeMat-Bulk
Functional: meta-GGA SCAN
Structure: single point on PBEsol structure

a = 8.9087 Å, b = 2.6801 Å, c = 4.6525 Å
α = 90.00°, β = 99.99°, γ = 90.00°
With the nearest neighbours (Å) after each atom.
Element x y z (fractional)
Os1 0.2482 0.0000 0.2464  6 Os 2.66-2.71, 3 Ru 2.67-2.69, 3 Rh 2.68-2.70
Os2 0.2518 0.5000 0.7536  6 Os 2.66-2.71, 3 Ru 2.67-2.69, 3 Rh 2.68-2.70
Os3 0.7482 0.5000 0.2464  6 Os 2.66-2.71, 3 Ru 2.67-2.69, 3 Rh 2.68-2.70
Os4 0.7518 0.0000 0.7536  6 Os 2.66-2.71, 3 Ru 2.67-2.69, 3 Rh 2.68-2.70
Ru1 0.0000 0.5000 0.0000  6 Os 2.67-2.69, 2 Ru 2.68, 4 Rh 2.68
Ru2 0.5000 0.0000 0.0000  6 Os 2.67-2.69, 2 Ru 2.68, 4 Rh 2.68
Rh1 0.0000 0.0000 0.5000  2 Rh 2.68, 6 Os 2.68-2.70, 4 Ru 2.68
Rh2 0.5000 0.5000 0.5000  2 Rh 2.68, 6 Os 2.68-2.70, 4 Ru 2.68

The calculated formation energy is 0.39 eV per formula unit. Its calculated volume is 54.7 Å³/f.u. Its raw total energy is -52.993 eV/atom. For the density of states at the Fermi level, the calculation gives 6.39 states/eV per cell.

***

Compound: NbCrGa
Source: Alexandria via LeMat-Bulk
Functional: meta-GGA SCAN
Structure: single point on PBEsol structure

a = 7.8899 Å, b = 5.0565 Å, c = 5.0565 Å
α = 58.45°, β = 90.00°, γ = 90.00°
With the nearest neighbours (Å) after each atom.
Element x y z (fractional)
Nb1 0.1839 0.0000 0.0000  7 Cr 2.84-2.97, 5 Ga 2.86-2.89, 4 Nb 2.90-3.10
Nb2 0.3017 0.6650 0.6650  7 Ga 2.75-3.00, 4 Cr 2.79-2.87, 2 Nb 3.01
Nb3 0.6983 0.6650 0.6650  7 Ga 2.75-3.00, 4 Cr 2.79-2.87, 2 Nb 3.01
Nb4 0.8161 0.0000 0.0000  7 Cr 2.84-2.97, 5 Ga 2.86-2.89, 4 Nb 2.90-3.10
Cr1 0.0000 0.0023 0.5029  4 Cr 2.30-2.47, 2 Ga 2.48-2.57
Cr2 0.0000 0.5029 0.0023  4 Cr 2.30-2.47, 2 Ga 2.48-2.57
Cr3 0.2348 0.3186 0.3186  2 Cr 2.30, 4 Ga 2.50-2.57
Cr4 0.7652 0.3186 0.3186  2 Cr 2.30, 4 Ga 2.50-2.57
Ga1 0.0000 0.5082 0.5082  6 Cr 2.48-2.57, 2 Nb 2.75
Ga2 0.5000 0.1582 0.1582  4 Ga 2.50-2.56, 2 Cr 2.53
Ga3 0.5000 0.1598 0.6639  4 Ga 2.45-2.56, 2 Cr 2.57
Ga4 0.5000 0.6639 0.1598  4 Ga 2.45-2.56, 2 Cr 2.57

The calculated formation energy is -0.71 eV per formula unit. Its calculated volume is 43.0 Å³/f.u. Its raw total energy is -22.858 eV/atom. For the density of states at the Fermi level, the calculation gives 6.92 states/eV per cell.

***

Compound: ZrCo2Hg
Source: Alexandria via LeMat-Bulk
Functional: meta-GGA SCAN
Structure: single point on PBEsol structure

a = 3.6963 Å, b = 3.5965 Å, c = 9.2443 Å
α = 90.00°, β = 90.00°, γ = 90.00°
With the nearest neighbours (Å) after each atom.
Element x y z (fractional)
Zr1 0.0000 0.0000 0.0000  7 Co 2.65-2.68
Zr2 0.0000 0.5000 0.5000  7 Co 2.65-2.68
Co1 0.0000 0.0000 0.2863  2 Co 2.23
Co2 0.0000 0.5000 0.7863  2 Co 2.23
Co3 0.5000 0.0000 0.4218  2 Co 2.23
Co4 0.5000 0.5000 0.9218  2 Co 2.23
Hg1 0.5000 0.0000 0.7029  7 Co 2.60-2.71
Hg2 0.5000 0.5000 0.2029  7 Co 2.60-2.71

The calculated formation energy is 0.43 eV per formula unit. Its calculated volume is 61.4 Å³/f.u. Its raw total energy is -33.260 eV/atom. For the density of states at the Fermi level, the calculation gives 7.54 states/eV per cell.

***

Compound: TlOs2Se
Source: Alexandria via LeMat-Bulk
Functional: meta-GGA SCAN
Structure: single point on PBEsol structure

a = 2.9110 Å, b = 4.6070 Å, c = 5.0385 Å
α = 90.00°, β = 90.00°, γ = 90.00°
With the nearest neighbours (Å) after each atom.
Element x y z (fractional)
Tl1 0.0000 0.0000 0.0000  4 Os 2.72, 4 Se 2.91, 2 Tl 2.91
Os1 0.0000 0.5000 0.5000  4 Se 2.72, 6 Os 2.91
Os2 0.5000 0.5000 0.0000  4 Tl 2.72, 6 Os 2.91
Se1 0.5000 0.0000 0.5000  4 Os 2.72, 4 Tl 2.91, 2 Se 2.91

The formation energy (no corrections) comes out at 1269 meV/atom. Its calculated volume is 67.6 Å³/f.u. Its raw total energy is -57.780 eV/atom. For the density of states at the Fermi level, the calculation gives 4.88 states/eV per cell.

***

Compound: MgVBiO5
Source: Alexandria via LeMat-Bulk
Functional: meta-GGA SCAN
Structure: single point on PBEsol structure

a = 5.1794 Å, b = 15.4172 Å, c = 10.4065 Å
α = 90.00°, β = 90.00°, γ = 90.00°
With the nearest neighbours (Å) after each atom.
Element x y z (fractional)
Mg1 0.0007 0.0503 0.1350  6 O 2.05-2.25
Mg2 0.0007 0.4497 0.6350  6 O 2.05-2.25
Mg3 0.4993 0.5503 0.1350  6 O 2.05-2.25
Mg4 0.4993 0.9497 0.6350  6 O 2.05-2.25
Mg5 0.5007 0.0503 0.3650  6 O 2.05-2.25
Mg6 0.5007 0.4497 0.8650  6 O 2.05-2.25
Mg7 0.9993 0.5503 0.3650  6 O 2.05-2.25
Mg8 0.9993 0.9497 0.8650  6 O 2.05-2.25
V1 0.0111 0.0887 0.6034  4 O 1.70-1.74
V2 0.0111 0.4113 0.1034  4 O 1.70-1.74
V3 0.4889 0.5887 0.6034  4 O 1.70-1.74
V4 0.4889 0.9113 0.1034  4 O 1.70-1.74
V5 0.5111 0.0887 0.8966  4 O 1.70-1.74
V6 0.5111 0.4113 0.3966  4 O 1.70-1.74
V7 0.9889 0.5887 0.8966  4 O 1.70-1.74
V8 0.9889 0.9113 0.3966  4 O 1.70-1.74
Bi1 0.0106 0.7313 0.1416  4 O 2.13-2.32
Bi2 0.0106 0.7687 0.6416  4 O 2.13-2.32
Bi3 0.4894 0.2313 0.1416  4 O 2.13-2.32
Bi4 0.4894 0.2687 0.6416  4 O 2.13-2.32
Bi5 0.5106 0.7313 0.3584  4 O 2.13-2.32
Bi6 0.5106 0.7687 0.8584  4 O 2.13-2.32
Bi7 0.9894 0.2313 0.3584  4 O 2.13-2.32
Bi8 0.9894 0.2687 0.8584  4 O 2.13-2.32
O1 0.0876 0.1859 0.6799  1 V 1.74
O2 0.0876 0.3141 0.1799  1 V 1.74
O3 0.1427 0.5157 0.8013  1 V 1.70
O4 0.1427 0.9843 0.3013  1 V 1.70
O5 0.1829 0.6569 0.2910  1 Mg 2.05, 2 Bi 2.13-2.17
O6 0.1829 0.8431 0.7910  1 Mg 2.05, 2 Bi 2.13-2.17
O7 0.1914 0.6201 0.0221  1 V 1.74
O8 0.1914 0.8799 0.5221  1 V 1.74
O9 0.2034 0.5527 0.5410  1 V 1.71
O10 0.2034 0.9473 0.0410  1 V 1.71
O11 0.2966 0.0527 0.5410  1 V 1.71
O12 0.2966 0.4473 0.0410  1 V 1.71
O13 0.3086 0.1201 0.0221  1 V 1.74
O14 0.3086 0.3799 0.5221  1 V 1.74
O15 0.3171 0.1569 0.2910  1 Mg 2.05, 2 Bi 2.13-2.17
O16 0.3171 0.3431 0.7910  1 Mg 2.05, 2 Bi 2.13-2.17
O17 0.3573 0.0157 0.8013  1 V 1.70
O18 0.3573 0.4843 0.3013  1 V 1.70
O19 0.4124 0.6859 0.6799  1 V 1.74
O20 0.4124 0.8141 0.1799  1 V 1.74
O21 0.5876 0.1859 0.8201  1 V 1.74
O22 0.5876 0.3141 0.3201  1 V 1.74
O23 0.6427 0.5157 0.6987  1 V 1.70
O24 0.6427 0.9843 0.1987  1 V 1.70
O25 0.6829 0.6569 0.2090  1 Mg 2.05, 2 Bi 2.13-2.17
O26 0.6829 0.8431 0.7090  1 Mg 2.05, 2 Bi 2.13-2.17
O27 0.6914 0.6201 0.4779  1 V 1.74
O28 0.6914 0.8799 0.9779  1 V 1.74
O29 0.7034 0.5527 0.9590  1 V 1.71
O30 0.7034 0.9473 0.4590  1 V 1.71
O31 0.7966 0.0527 0.9590  1 V 1.71
O32 0.7966 0.4473 0.4590  1 V 1.71
O33 0.8086 0.1201 0.4779  1 V 1.74
O34 0.8086 0.3799 0.9779  1 V 1.74
O35 0.8171 0.1569 0.2090  1 Mg 2.05, 2 Bi 2.13-2.17
O36 0.8171 0.3431 0.7090  1 Mg 2.05, 2 Bi 2.13-2.17
O37 0.8573 0.0157 0.6987  1 V 1.70
O38 0.8573 0.4843 0.1987  1 V 1.70
O39 0.9124 0.6859 0.8201  1 V 1.74
O40 0.9124 0.8141 0.3201  1 V 1.74

The formation energy (no corrections) comes out at -2283 meV/atom. Its calculated volume is 103.9 Å³/f.u. Its raw total energy is -18.808 eV/atom. For the density of states at the Fermi level, the calculation gives 0.00 states/eV per cell.

***

Compound: CuPt
Source: Alexandria via LeMat-Bulk
Functional: meta-GGA SCAN
Structure: single point on PBEsol structure

a = 2.6945 Å, b = 2.6945 Å, c = 12.7716 Å
α = 90.00°, β = 90.00°, γ = 120.00°
With the nearest neighbours (Å) after each atom.
Element x y z (fractional)
Cu1 0.0000 0.0000 0.0000  6 Pt 2.64, 6 Cu 2.69
Cu2 0.3333 0.6667 0.6667  6 Pt 2.64, 6 Cu 2.69
Cu3 0.6667 0.3333 0.3333  6 Pt 2.64, 6 Cu 2.69
Pt1 0.0000 0.0000 0.5000  6 Cu 2.64, 6 Pt 2.69
Pt2 0.3333 0.6667 0.1667  6 Cu 2.64, 6 Pt 2.69
Pt3 0.6667 0.3333 0.8333  6 Cu 2.64, 6 Pt 2.69

The calculated formation energy is -0.37 eV per formula unit. Its calculated volume is 26.8 Å³/f.u. Its raw total energy is -42.881 eV/atom. For the density of states at the Fermi level, the calculation gives 4.27 states/eV per cell.

***

Compound: Sr2RhF
Source: Alexandria via LeMat-Bulk
Functional: meta-GGA SCAN
Structure: single point on PBEsol structure

a = 6.9911 Å, b = 6.9911 Å, c = 6.9911 Å
α = 90.00°, β = 90.00°, γ = 90.00°
With the nearest neighbours (Å) after each atom.
Element x y z (fractional)
Sr1 0.2500 0.2500 0.2500  4 F 3.03, 4 Rh 3.03
Sr2 0.2500 0.2500 0.7500  4 F 3.03, 4 Rh 3.03
Sr3 0.2500 0.7500 0.2500  4 F 3.03, 4 Rh 3.03
Sr4 0.2500 0.7500 0.7500  4 F 3.03, 4 Rh 3.03
Sr5 0.7500 0.2500 0.2500  4 F 3.03, 4 Rh 3.03
Sr6 0.7500 0.2500 0.7500  4 F 3.03, 4 Rh 3.03
Sr7 0.7500 0.7500 0.2500  4 F 3.03, 4 Rh 3.03
Sr8 0.7500 0.7500 0.7500  4 Rh 3.03, 4 F 3.03
Rh1 0.0000 0.0000 0.0000  8 Sr 3.03
Rh2 0.0000 0.5000 0.5000  8 Sr 3.03
Rh3 0.5000 0.0000 0.5000  8 Sr 3.03
Rh4 0.5000 0.5000 0.0000  8 Sr 3.03
F1 0.0000 0.0000 0.5000  8 Sr 3.03
F2 0.0000 0.5000 0.0000  8 Sr 3.03
F3 0.5000 0.0000 0.0000  8 Sr 3.03
F4 0.5000 0.5000 0.5000  8 Sr 3.03

The formation energy (no corrections) comes out at -1256 meV/atom. Its calculated volume is 85.4 Å³/f.u. Its raw total energy is -21.721 eV/atom.

***

Compound: BaTm2S4
Source: Alexandria via LeMat-Bulk
Functional: meta-GGA SCAN
Structure: single point on PBEsol structure

a = 12.0434 Å, b = 3.9520 Å, c = 14.2351 Å
α = 90.00°, β = 90.00°, γ = 90.00°
With the nearest neighbours (Å) after each atom.
Element x y z (fractional)
Ba1 0.2419 0.2500 0.1628  8 S 3.15-3.31
Ba2 0.2581 0.7500 0.6628  8 S 3.15-3.31
Ba3 0.7419 0.2500 0.3372  8 S 3.15-3.31
Ba4 0.7581 0.7500 0.8372  8 S 3.15-3.31
Tm1 0.0669 0.2500 0.3922  6 S 2.64-2.71
Tm2 0.0781 0.2500 0.8988  6 S 2.66-2.72
Tm3 0.4219 0.7500 0.3988  6 S 2.66-2.72
Tm4 0.4331 0.7500 0.8922  6 S 2.64-2.71
Tm5 0.5669 0.2500 0.1078  6 S 2.64-2.71
Tm6 0.5781 0.2500 0.6012  6 S 2.66-2.72
Tm7 0.9219 0.7500 0.1012  6 S 2.66-2.72
Tm8 0.9331 0.7500 0.6078  6 S 2.64-2.71
S1 0.0226 0.7500 0.7826  3 Tm 2.66-2.71
S2 0.0809 0.2500 0.5773  3 Tm 2.64-2.69
S3 0.1238 0.7500 0.0226  3 Tm 2.68-2.70
S4 0.2074 0.7500 0.3397  3 Tm 2.71-2.72
S5 0.2926 0.2500 0.8397  3 Tm 2.71-2.72
S6 0.3762 0.2500 0.5226  3 Tm 2.68-2.70
S7 0.4191 0.7500 0.0773  3 Tm 2.64-2.69
S8 0.4774 0.2500 0.2826  3 Tm 2.66-2.71
S9 0.5226 0.7500 0.7174  3 Tm 2.66-2.71
S10 0.5809 0.2500 0.9227  3 Tm 2.64-2.69
S11 0.6238 0.7500 0.4774  3 Tm 2.68-2.70
S12 0.7074 0.7500 0.1603  3 Tm 2.71-2.72
S13 0.7926 0.2500 0.6603  3 Tm 2.71-2.72
S14 0.8762 0.2500 0.9774  3 Tm 2.68-2.70
S15 0.9191 0.7500 0.4227  3 Tm 2.64-2.69
S16 0.9774 0.2500 0.2174  3 Tm 2.66-2.71

The formation energy (no corrections) comes out at -2435 meV/atom. Its calculated volume is 169.4 Å³/f.u. Its raw total energy is -28.396 eV/atom. For the density of states at the Fermi level, the calculation gives 0.00 states/eV per cell.

***

Compound: LuCu5
Source: Alexandria via LeMat-Bulk
Functional: meta-GGA SCAN
Structure: single point on PBEsol structure

a = 4.8434 Å, b = 4.8434 Å, c = 4.8434 Å
α = 60.00°, β = 60.00°, γ = 60.00°
With the nearest neighbours (Å) after each atom.
Element x y z (fractional)
Lu1 0.0000 0.0000 0.0000  16 Cu 2.84-2.97
Cu1 0.3758 0.3758 0.3758  6 Cu 2.41-2.44
Cu2 0.3758 0.3758 0.8725  6 Cu 2.41-2.44
Cu3 0.3758 0.8725 0.3758  6 Cu 2.41-2.44
Cu4 0.7500 0.7500 0.7500  12 Cu 2.84, 4 Lu 2.97
Cu5 0.8725 0.3758 0.3758  6 Cu 2.41-2.44

The calculated formation energy is -1.36 eV per formula unit. Its calculated volume is 80.3 Å³/f.u. Its raw total energy is -22.117 eV/atom. For the density of states at the Fermi level, the calculation gives 3.59 states/eV per cell.

***

Compound: BaSr3Mn4O12
Source: Alexandria via LeMat-Bulk
Functional: meta-GGA SCAN
Structure: single point on PBEsol structure

a = 5.4733 Å, b = 5.4733 Å, c = 9.1136 Å
α = 90.00°, β = 90.00°, γ = 120.00°
With the nearest neighbours (Å) after each atom.
Element x y z (fractional)
Ba1 0.0000 0.0000 0.0000  12 O 2.74-2.82
Sr1 0.3333 0.6667 0.5000  12 O 2.72-2.74
Sr2 0.6667 0.3333 0.2638  12 O 2.74-2.96
Sr3 0.6667 0.3333 0.7362  12 O 2.74-2.96
Mn1 0.0000 0.0000 0.3636  6 O 1.88-1.91
Mn2 0.0000 0.0000 0.6364  6 O 1.88-1.91
Mn3 0.3333 0.6667 0.1370  6 O 1.90
Mn4 0.3333 0.6667 0.8630  6 O 1.90
O1 0.0326 0.5163 0.0000  2 Mn 1.90
O2 0.1688 0.3376 0.2553  2 Mn 1.88-1.90
O3 0.1688 0.3376 0.7447  2 Mn 1.88-1.90
O4 0.1688 0.8312 0.2553  2 Mn 1.88-1.90
O5 0.1688 0.8312 0.7447  2 Mn 1.88-1.90
O6 0.3047 0.1523 0.5000  2 Mn 1.91
O7 0.4837 0.5163 0.0000  2 Mn 1.90
O8 0.4837 0.9674 0.0000  2 Mn 1.90
O9 0.6624 0.8312 0.2553  2 Mn 1.88-1.90
O10 0.6624 0.8312 0.7447  2 Mn 1.88-1.90
O11 0.8477 0.1523 0.5000  2 Mn 1.91
O12 0.8477 0.6953 0.5000  2 Mn 1.91

The formation energy (no corrections) comes out at -2673 meV/atom. Its calculated volume is 236.4 Å³/f.u. Its raw total energy is -15.381 eV/atom.

***

Compound: SiTe
Source: Alexandria via LeMat-Bulk
Functional: meta-GGA SCAN
Structure: single point on PBEsol structure

a = 3.8395 Å, b = 3.8395 Å, c = 23.5136 Å
α = 90.00°, β = 90.00°, γ = 120.00°
With the nearest neighbours (Å) after each atom.
Element x y z (fractional)
Si1 0.0000 0.0000 0.1979  3 Si 2.66, 3 Te 2.67
Si2 0.0000 0.0000 0.8021  3 Si 2.66, 3 Te 2.67
Si3 0.3333 0.6667 0.1355  3 Si 2.66, 3 Te 2.67
Si4 0.3333 0.6667 0.4689  3 Si 2.66, 3 Te 2.67
Si5 0.6667 0.3333 0.5311  3 Si 2.66, 3 Te 2.67
Si6 0.6667 0.3333 0.8645  3 Si 2.66, 3 Te 2.67
Te1 0.0000 0.0000 0.4055  3 Si 2.67
Te2 0.0000 0.0000 0.5945  3 Si 2.67
Te3 0.3333 0.6667 0.7387  3 Si 2.67
Te4 0.3333 0.6667 0.9280  3 Si 2.67
Te5 0.6667 0.3333 0.0720  3 Si 2.67
Te6 0.6667 0.3333 0.2613  3 Si 2.67

The formation energy (no corrections) comes out at 103 meV/atom. Its calculated volume is 50.0 Å³/f.u. Its raw total energy is -23.530 eV/atom. For the density of states at the Fermi level, the calculation gives 0.74 states/eV per cell.

***

Compound: Fe2SbRh
Source: Alexandria via LeMat-Bulk
Functional: meta-GGA SCAN
Structure: single point on PBEsol structure

a = 2.8638 Å, b = 3.8622 Å, c = 5.1951 Å
α = 90.00°, β = 90.09°, γ = 90.00°
With the nearest neighbours (Å) after each atom.
Element x y z (fractional)
Fe1 0.9998 0.0000 0.2350  1 Fe 2.44, 4 Rh 2.69-2.70
Fe2 0.0002 0.0000 0.7650  1 Fe 2.44, 4 Rh 2.69-2.70
Sb1 0.5000 0.5000 0.5000  2 Rh 2.60, 8 Fe 2.77, 2 Sb 2.86
Rh1 0.5000 0.5000 0.0000  2 Sb 2.60, 8 Fe 2.69-2.70, 2 Rh 2.86

The formation energy (no corrections) comes out at 52 meV/atom. Its calculated volume is 57.5 Å³/f.u. Its raw total energy is -26.771 eV/atom. For the density of states at the Fermi level, the calculation gives 2.45 states/eV per cell.